The following is a DFT calculation (PBE) of a relaxed SmY3Ga crystal.

Properties
For the formation energy, the calculation gives -0.09 eV per atom. The mass density is 5.1 g/cm³.

```
SmY3Ga
1.0
-1.125 5.404 5.064
-6.733 -2.946 -1.448
4.263 -5.802 2.027
Y Sm Ga
6 2 2
direct
0.725 0.446 0.172
0.228 0.414 0.258
0.772 0.586 0.742
0.156 0.970 0.742
0.844 0.030 0.258
0.275 0.554 0.828
0.703 0.067 0.770
0.297 0.933 0.230
0.369 0.249 0.618
0.631 0.751 0.382
```

The following is a DFT calculation (PBE) of a relaxed Sm3YGa4 crystal.

Properties
For the formation energy, the calculation gives -0.58 eV per atom. The mass density is 7.1 g/cm³.

```
Sm3YGa4
1.0
-0.154 -4.711 2.022
2.661 -3.810 -2.170
7.448 -0.979 4.791
Ga Sm Y
4 3 1
direct
0.124 0.124 0.627
0.876 0.876 0.373
0.626 0.626 0.123
0.374 0.374 0.877
0.250 0.250 0.249
0.500 0.500 0.500
0.750 0.750 0.751
0.000 0.000 0.000
```

The following is a DFT calculation (PBE) of a relaxed SmY2Ga6 crystal.

Properties
For the formation energy, the calculation gives -0.66 eV per atom. As for the energy relative to the lowest polymorph listed for this composition: 0 kJ/mol of formula units. The mass density is 6.4 g/cm³.

```
SmY2Ga6
1.0
4.170 0.000 0.000
0.000 6.335 -3.658
0.000 0.000 7.315
Ga Sm Y
6 1 2
direct
0.500 0.000 0.334
0.500 0.334 0.334
0.500 0.334 0.000
0.500 0.000 0.666
0.500 0.666 0.000
0.500 0.666 0.666
0.000 0.000 0.000
0.000 0.333 0.667
0.000 0.667 0.333
```

The following is a DFT calculation (PBE) of a relaxed SmYGa4 crystal.

Properties
For the formation energy, the calculation gives -0.57 eV per atom. As for the energy relative to the lowest polymorph listed for this composition: 63 kJ/mol of formula units. The mass density is 7.1 g/cm³.

```
SmYGa4
1.0
-1.693 -3.453 4.007
3.686 -3.201 2.648
1.290 1.050 5.299
Ga Y Sm
4 1 1
direct
0.625 0.625 0.125
0.125 0.625 0.625
0.625 0.125 0.625
0.625 0.625 0.625
0.250 0.250 0.250
0.000 0.000 0.000
```